# 1
Compound: Al11Co4
Source: OQMD via LeMat-Bulk
Functional: PBE-GGA
Structure: relaxed

Cell: 9.143 9.143 4.880 Å, 90.00 90.00 90.00°
Fractional positions:
Al  0.000  0.000  0.000
Al  0.029  0.369  0.500
Al  0.101  0.101  0.500
Al  0.131  0.529  0.000
Al  0.197  0.803  0.250
Al  0.197  0.803  0.750
Al  0.303  0.303  0.250
Al  0.303  0.303  0.750
Al  0.369  0.029  0.500
Al  0.399  0.601  0.000
Al  0.471  0.869  0.000
Al  0.500  0.500  0.500
Al  0.529  0.131  0.000
Al  0.601  0.399  0.000
Al  0.631  0.971  0.500
Al  0.697  0.697  0.250
Al  0.697  0.697  0.750
Al  0.803  0.197  0.250
Al  0.803  0.197  0.750
Al  0.869  0.471  0.000
Al  0.899  0.899  0.500
Al  0.971  0.631  0.500
Co  0.052  0.260  0.000
Co  0.240  0.552  0.500
Co  0.260  0.052  0.000
Co  0.448  0.760  0.500
Co  0.552  0.240  0.500
Co  0.740  0.948  0.000
Co  0.760  0.448  0.500
Co  0.948  0.740  0.000

Calculated values
- magnetic moment (μB per atom) = 0.000
- space group = P4_2/mnm
- raw total energy (eV/atom) = -4.9121
- relative energy among the computed polymorphs (eV per atom) = 0.000



# 2
Compound: ReAgIr
Source: OQMD via LeMat-Bulk
Functional: PBE-GGA
Structure: relaxed

Cell: 6.011 6.011 6.011 Å, 90.00 90.00 90.00°
Fractional positions:
Re  0.000  0.000  0.000
Re  0.000  0.500  0.500
Re  0.500  0.000  0.500
Re  0.500  0.500  0.000
Ag  0.000  0.000  0.500
Ag  0.000  0.500  0.000
Ag  0.500  0.000  0.000
Ag  0.500  0.500  0.500
Ir  0.250  0.250  0.750
Ir  0.250  0.750  0.250
Ir  0.750  0.250  0.250
Ir  0.750  0.750  0.750

Calculated values
- magnetic moment (μB per atom) = 0.037
- space group = F-43m
- raw total energy (eV/atom) = -7.2307
- relative energy among the computed polymorphs (eV per atom) = 0.000



# 3
Compound: HfMg2Co
Source: OQMD via LeMat-Bulk
Functional: PBE-GGA
Structure: relaxed

Cell: 6.492 6.492 6.492 Å, 90.00 90.00 90.00°
Fractional positions:
Hf  0.000  0.000  0.000
Hf  0.000  0.500  0.500
Hf  0.500  0.000  0.500
Hf  0.500  0.500  0.000
Mg  0.000  0.000  0.500
Mg  0.000  0.500  0.000
Mg  0.250  0.250  0.250
Mg  0.250  0.750  0.750
Mg  0.500  0.000  0.000
Mg  0.500  0.500  0.500
Mg  0.750  0.250  0.750
Mg  0.750  0.750  0.250
Co  0.250  0.250  0.750
Co  0.250  0.750  0.250
Co  0.750  0.250  0.250
Co  0.750  0.750  0.750

Calculated values
- magnetic moment (μB per atom) = 0.200
- space group = F-43m
- raw total energy (eV/atom) = -4.9490



# 4
Compound: LuCdInTe3
Source: OQMD via LeMat-Bulk
Functional: PBE-GGA
Structure: relaxed

Cell: 8.654 4.664 18.427 Å, 90.00 90.00 90.00°
Fractional positions:
Lu  0.234  0.250  0.039
Lu  0.266  0.750  0.539
Lu  0.734  0.250  0.461
Lu  0.766  0.750  0.961
Cd  0.088  0.250  0.342
Cd  0.412  0.750  0.842
Cd  0.588  0.250  0.158
Cd  0.912  0.750  0.658
In  0.056  0.250  0.801
In  0.444  0.750  0.301
In  0.556  0.250  0.699
In  0.944  0.750  0.199
Te  0.006  0.250  0.575
Te  0.124  0.750  0.942
Te  0.234  0.250  0.204
Te  0.266  0.750  0.704
Te  0.376  0.250  0.442
Te  0.494  0.750  0.075
Te  0.506  0.250  0.925
Te  0.624  0.750  0.558
Te  0.734  0.250  0.296
Te  0.766  0.750  0.796
Te  0.876  0.250  0.058
Te  0.994  0.750  0.425

Calculated values
- magnetic moment (μB per atom) = 0.000
- space group = Pnma
- raw total energy (eV/atom) = -3.5553
- relative energy among the computed polymorphs (eV per atom) = 0.096



# 5
Compound: RbGaCu
Source: OQMD via LeMat-Bulk
Functional: PBE-GGA
Structure: relaxed

Cell: 7.165 7.165 7.165 Å, 90.00 90.00 90.00°
Fractional positions:
Rb  0.000  0.000  0.000
Rb  0.000  0.500  0.500
Rb  0.500  0.000  0.500
Rb  0.500  0.500  0.000
Ga  0.000  0.000  0.500
Ga  0.000  0.500  0.000
Ga  0.500  0.000  0.000
Ga  0.500  0.500  0.500
Cu  0.250  0.250  0.250
Cu  0.250  0.750  0.750
Cu  0.750  0.250  0.750
Cu  0.750  0.750  0.250

Calculated values
- space group = F-43m
- raw total energy (eV/atom) = -2.0236
- relative energy among the computed polymorphs (eV per atom) = 0.000